Density functional theory data (GGA-PBE) for a relaxed TbPr8Ho6 crystal.

Properties
Calculated formation energy = 2.6 eV per formula unit
Energy relative to the lowest polymorph listed for this composition = 0.049 eV per atom
M_tot = 0.0 μB per formula unit

```
data_TbPr8Ho6
_chemical_formula_sum 'Tb1 Pr8 Ho6'
_cell_length_a 9.4828
_cell_length_b 9.4828
_cell_length_c 6.6079
_cell_angle_alpha 90.00
_cell_angle_beta 90.00
_cell_angle_gamma 120.00
_space_group_name_H-M_alt 'P -3'
_space_group_IT_number 147
_space_group_name_Hall '-P 3'
loop_
_atom_site_label
_atom_site_type_symbol
_atom_site_fract_x
_atom_site_fract_y
_atom_site_fract_z
Tb1 Tb 0.0000 0.0000 0.0000
Pr1 Pr 0.0385 0.7503 0.6685
Pr2 Pr 0.3333 0.6667 0.6204
Ho1 Ho 0.0953 0.6570 0.1570
```

Density functional theory data (GGA-PBE) for a relaxed SbAuF2 crystal.

Properties
Energy relative to the lowest polymorph listed for this composition = 0.245 eV per atom
ΔE_f (raw) = -762 meV/atom
M_tot = 0.0 μB per formula unit

```
data_SbAuF2
_chemical_formula_sum 'Sb4 Au4 F8'
_cell_length_a 6.301
_cell_length_b 6.301
_cell_length_c 6.301
_cell_angle_alpha 90.00
_cell_angle_beta 90.00
_cell_angle_gamma 90.00
_space_group_name_H-M_alt 'F m -3 m'
_space_group_IT_number 225
_space_group_name_Hall '-F 4 2 3'
loop_
_atom_site_label
_atom_site_type_symbol
_atom_site_fract_x
_atom_site_fract_y
_atom_site_fract_z
Sb1 Sb 0.000 0.000 0.000
Au1 Au 0.000 0.000 0.500
F1 F 0.250 0.250 0.250
```

Density functional theory data (GGA-PBE) for a relaxed Pt2SeF crystal.

Properties
Energy relative to the lowest polymorph listed for this composition = 0.000 eV per atom
ΔE_f (raw) = -81 meV/atom
M_tot = 0.0 μB per formula unit

```
data_Pt2SeF
_chemical_formula_sum 'Pt8 Se4 F4'
_cell_length_a 6.644
_cell_length_b 6.644
_cell_length_c 5.830
_cell_angle_alpha 90.00
_cell_angle_beta 90.00
_cell_angle_gamma 90.00
_space_group_name_H-M_alt 'I -4 2 d'
_space_group_IT_number 122
_space_group_name_Hall 'I -4 2bw'
loop_
_atom_site_label
_atom_site_type_symbol
_atom_site_fract_x
_atom_site_fract_y
_atom_site_fract_z
Pt1 Pt 0.249 0.250 0.125
Se1 Se 0.000 0.000 0.000
F1 F 0.000 0.000 0.500
```

Density functional theory data (GGA-PBE) for a relaxed Tc2AgHg crystal.

Properties
Calculated formation energy = 2.1 eV per formula unit
M_tot = 0.0 μB per formula unit

```
data_Tc2AgHg
_chemical_formula_sum 'Tc4 Ag2 Hg2'
_cell_length_a 9.199
_cell_length_b 2.815
_cell_length_c 5.245
_cell_angle_alpha 90.00
_cell_angle_beta 97.90
_cell_angle_gamma 90.00
_space_group_name_H-M_alt 'C 1 m 1'
_space_group_IT_number 8
_space_group_name_Hall 'C -2y'
loop_
_atom_site_label
_atom_site_type_symbol
_atom_site_fract_x
_atom_site_fract_y
_atom_site_fract_z
Tc1 Tc 0.000 0.000 0.000
Tc2 Tc 0.242 0.500 0.172
Ag1 Ag 0.247 0.000 0.706
Hg1 Hg 0.494 0.000 0.478
```